Computed, not measured: crystalline ScNb3Ag at its relaxed geometry at the PBE level of DFT.

Results
* ΔE to the lowest computed polymorph: 0 meV/atom
* calculated total energy: -6.33 eV/atom
* formation enthalpy at 0 K: 1.548 eV/atom
* total magnetization: 0.00 μB per formula unit

Cell lengths 4.9572, 4.9572, 4.9572 Å; angles 90.00, 90.00, 90.00 degrees
Closest atoms and distances in Å follow each position.
Positions (direct):
Nb (0.0000, 0.5000, 0.0000)  2 Ag 2.48
Nb (0.0000, 0.0000, 0.5000)  2 Ag 2.48
Nb (0.5000, 0.0000, 0.0000)  2 Ag 2.48
Ag (0.0000, 0.0000, 0.0000)  6 Nb 2.48
Sc (0.5000, 0.5000, 0.5000)  12 Nb 3.51